The following is a PBE calculation of PH4Br after structural relaxation, from Alexandria via LeMat-Bulk.

Results
The value obtained for the total magnetization is 0.0000 μB/atom. The calculation puts the total DFT energy (no corrections) at -3.531 eV/atom.

a b c (Å): 5.326 5.325 6.866
angles (deg): 112.80 112.80 90.03
Positions (direct):
P  0.875  0.125  0.250
P  0.125  0.875  0.750
H  0.268  0.803  0.602
H  0.803  0.835  0.102
H  0.166  0.201  0.398
H  0.200  0.732  0.898
H  0.732  0.197  0.398
H  0.834  0.799  0.602
H  0.197  0.165  0.898
H  0.800  0.268  0.102
Br  0.375  0.625  0.250
Br  0.625  0.375  0.750